{"formula": "ScTcC", "functional": "PBE", "state": "optimized geometry", "lattice": [[3.1080, 0.0000, 0.0000], [1.5540, 4.6608, -0.0250], [1.5540, 1.1656, 5.4133]], "species": ["Tc", "C", "Sc", "Tc", "C", "Sc"], "fractional_positions": [[0.1762, 0.2277, 0.4199], [0.8193, 0.1602, 0.2011], [0.4207, 0.2922, 0.8664], [0.8238, 0.7723, 0.5801], [0.1807, 0.8398, 0.7989], [0.5793, 0.7078, 0.1336]], "e_tot_ev_per_atom": -8.93, "magmom_total_mub_per_atom": 0.00, "formation_enthalpy_0k_kj_per_mol_fu": -84, "space_group": "C2/m", "rho_g_cm3": 6.6}

=====

{"formula": "Sc2TcC", "functional": "PBE", "state": "optimized geometry", "lattice": [[-7.9473, -0.4977, -0.8817], [-7.6810, -0.4066, 2.2411], [-7.6644, 2.2575, 0.5878]], "species": ["C", "Sc", "Sc", "Tc"], "fractional_positions": [[0.5000, 0.5000, 0.5000], [0.1120, 0.1120, 0.1120], [0.8880, 0.8880, 0.8880], [0.0000, 0.0000, 0.0000]], "e_tot_ev_per_atom": -7.91, "magmom_total_mub_per_atom": 0.00, "formation_enthalpy_0k_kj_per_mol_fu": 59, "space_group": "R-3m", "rho_g_cm3": 5.0}

=====

{"formula": "Sc2Tc2C3", "functional": "PBE", "state": "optimized geometry", "lattice": [[-2.3397, -1.5697, -1.4059], [1.5537, -4.6025, 2.5529], [-2.5280, 3.5763, 3.7404]], "species": ["Sc", "C", "Tc", "Sc", "Tc", "C", "C"], "fractional_positions": [[0.3855, 0.1629, 0.7710], [0.7590, 0.2609, 0.5180], [0.8464, 0.6741, 0.6927], [0.6145, 0.8371, 0.2290], [0.1536, 0.3259, 0.3073], [0.2410, 0.7391, 0.4820], [0.0000, 0.0000, 0.0000]], "e_tot_ev_per_atom": -9.14, "magmom_total_mub_per_atom": 0.00, "formation_enthalpy_0k_kj_per_mol_fu": -283, "space_group": "C2/m", "rho_g_cm3": 6.0}

=====

{"formula": "ScTcC", "functional": "PBE", "state": "optimized geometry", "lattice": [[-2.1620, 2.6685, -2.5979], [-2.2041, 0.7096, 2.5632], [2.8483, 1.9112, -0.4073]], "species": ["Tc", "C", "Sc"], "fractional_positions": [[0.1708, 0.3333, 0.6667], [0.1018, 0.0000, 0.0000], [0.7273, 0.6667, 0.3333]], "e_tot_ev_per_atom": -8.70, "magmom_total_mub_per_atom": 0.00, "formation_enthalpy_0k_kj_per_mol_fu": -17, "space_group": "P3m1", "rho_g_cm3": 5.8}

=====

{"formula": "Sc3TcC4", "functional": "PBE", "state": "optimized geometry", "lattice": [[-3.2524, -0.5285, -0.5257], [0.6499, -4.4295, 0.4324], [0.2328, 2.9246, 6.2086]], "species": ["C", "C", "C", "Sc", "Tc", "Sc", "C", "Sc"], "fractional_positions": [[0.3716, 0.5305, 0.7432], [0.6284, 0.7872, 0.2567], [0.6284, 0.4695, 0.2568], [0.0000, 0.5000, 0.0000], [0.5000, 0.0000, 0.0000], [0.1905, 0.1904, 0.3810], [0.3716, 0.2128, 0.7433], [0.8095, 0.8096, 0.6190]], "e_tot_ev_per_atom": -8.73, "magmom_total_mub_per_atom": 0.00, "formation_enthalpy_0k_kj_per_mol_fu": -348, "space_group": "Immm", "rho_g_cm3": 5.0}

=====

{"formula": "Sc2TcC", "functional": "PBE", "state": "optimized geometry", "lattice": [[1.8606, 0.0000, 8.2859], [-0.9303, 1.6113, 8.2859], [-0.9303, -1.6113, 8.2859]], "species": ["Sc", "C", "Tc", "Sc"], "fractional_positions": [[0.9121, 0.9121, 0.9121], [0.0000, 0.0000, 0.0000], [0.5000, 0.5000, 0.5000], [0.0879, 0.0879, 0.0879]], "e_tot_ev_per_atom": -7.08, "magmom_total_mub_per_atom": 0.00, "formation_enthalpy_0k_kj_per_mol_fu": 380, "space_group": "R-3m", "rho_g_cm3": 4.5}